[1]
! Pa2VCr, optimized geometry, DFT GGA-PBE; values from VASP
&SYSTEM
  ibrav = 0, nat = 4, ntyp = 3
/
ATOMIC_SPECIES
Pa 231.04 Pa.upf
V 50.94 V.upf
Cr 52.00 Cr.upf
CELL_PARAMETERS angstrom
1.488 0.859 10.061
-1.488 0.859 10.061
0.000 -1.718 10.061
ATOMIC_POSITIONS crystal
Pa 0.087 0.087 0.087
Pa 0.913 0.913 0.913
V 0.000 0.000 0.000
Cr 0.500 0.500 0.500
! - E_tot: -8.824 eV/atom
! - Mass density: 12.2 g/cm³
! - Formation energy: 0.610 eV per atom



[2]
! PaVCr, optimized geometry, DFT GGA-PBE; values from VASP
&SYSTEM
  ibrav = 0, nat = 3, ntyp = 3
/
ATOMIC_SPECIES
Pa 231.04 Pa.upf
V 50.94 V.upf
Cr 52.00 Cr.upf
CELL_PARAMETERS angstrom
-1.504 1.504 5.604
1.504 -1.504 5.604
1.504 1.504 -5.604
ATOMIC_POSITIONS crystal
Pa 0.000 0.000 0.000
V 0.292 0.292 0.000
Cr 0.688 0.688 0.000
! - E_tot: -9.168 eV/atom
! - Mass density: 10.9 g/cm³
! - Formation energy: 0.245 eV per atom



[3]
! PaV2Cr, optimized geometry, DFT GGA-PBE; values from VASP
&SYSTEM
  ibrav = 0, nat = 4, ntyp = 3
/
ATOMIC_SPECIES
Pa 231.04 Pa.upf
V 50.94 V.upf
Cr 52.00 Cr.upf
CELL_PARAMETERS angstrom
3.154 0.000 0.000
0.000 3.154 0.000
0.000 0.000 6.268
ATOMIC_POSITIONS crystal
Pa 0.000 0.000 0.000
V 0.500 0.500 0.275
V 0.500 0.500 0.725
Cr 0.000 0.000 0.500
! - E_tot: -9.052 eV/atom
! - Mass density: 10.2 g/cm³
! - Formation energy: 0.287 eV per atom



[4]
! PaVCr, optimized geometry, DFT GGA-PBE; values from VASP
&SYSTEM
  ibrav = 0, nat = 18, ntyp = 3
/
ATOMIC_SPECIES
Pa 231.04 Pa.upf
V 50.94 V.upf
Cr 52.00 Cr.upf
CELL_PARAMETERS angstrom
4.522 0.000 0.000
-0.388 5.968 0.000
-2.077 -2.885 11.363
ATOMIC_POSITIONS crystal
Pa 0.000 0.000 0.000
Pa 0.006 0.820 0.374
Pa 0.110 0.683 0.623
Pa 0.500 0.500 0.000
Pa 0.890 0.317 0.377
Pa 0.994 0.180 0.626
V 0.071 0.560 0.148
V 0.430 0.139 0.789
V 0.444 0.570 0.376
V 0.556 0.430 0.624
V 0.570 0.861 0.211
V 0.929 0.440 0.852
Cr 0.139 0.129 0.214
Cr 0.395 0.652 0.826
Cr 0.464 0.087 0.417
Cr 0.536 0.913 0.583
Cr 0.605 0.348 0.174
Cr 0.861 0.871 0.786
! - E_tot: -9.078 eV/atom
! - Mass density: 10.9 g/cm³
! - Formation energy: 0.335 eV per atom



[5]
! PaVCr2, optimized geometry, DFT GGA-PBE; values from VASP
&SYSTEM
  ibrav = 0, nat = 4, ntyp = 3
/
ATOMIC_SPECIES
Pa 231.04 Pa.upf
V 50.94 V.upf
Cr 52.00 Cr.upf
CELL_PARAMETERS angstrom
0.000 3.113 3.113
3.113 0.000 3.113
3.113 3.113 0.000
ATOMIC_POSITIONS crystal
Pa 0.000 0.000 0.000
V 0.500 0.500 0.500
Cr 0.250 0.250 0.250
Cr 0.750 0.750 0.750
! - E_tot: -9.299 eV/atom
! - Mass density: 10.6 g/cm³
! - Formation energy: 0.166 eV per atom



[6]
! PaCr4W, optimized geometry, DFT GGA-PBE; values from VASP
&SYSTEM
  ibrav = 0, nat = 6, ntyp = 3
/
ATOMIC_SPECIES
Pa 231.04 Pa.upf
Cr 52.00 Cr.upf
W 183.84 W.upf
CELL_PARAMETERS angstrom
0.000 3.538 3.538
3.538 0.000 3.538
3.538 3.538 0.000
ATOMIC_POSITIONS crystal
Pa 0.000 0.000 0.000
Cr 0.125 0.625 0.625
Cr 0.625 0.125 0.625
Cr 0.625 0.625 0.125
Cr 0.625 0.625 0.625
W 0.250 0.250 0.250
! - E_tot: -9.875 eV/atom
! - Mass density: 11.7 g/cm³
! - Formation energy: 0.282 eV per atom



[7]
! Pa2Zn16Cr, optimized geometry, DFT GGA-PBE; values from VASP
&SYSTEM
  ibrav = 0, nat = 19, ntyp = 3
/
ATOMIC_SPECIES
Pa 231.04 Pa.upf
Zn 65.41 Zn.upf
Cr 52.00 Cr.upf
CELL_PARAMETERS angstrom
4.480 2.587 4.398
-4.480 2.587 4.398
0.000 -5.173 4.398
ATOMIC_POSITIONS crystal
Pa 0.000 0.000 0.000
Pa 0.326 0.326 0.326
Zn 0.017 0.017 0.497
Zn 0.017 0.497 0.017
Zn 0.159 0.659 0.659
Zn 0.305 0.305 0.810
Zn 0.305 0.810 0.305
Zn 0.367 0.658 0.949
Zn 0.367 0.949 0.658
Zn 0.497 0.017 0.017
Zn 0.658 0.367 0.949
Zn 0.658 0.949 0.367
Zn 0.659 0.159 0.659
Zn 0.659 0.659 0.159
Zn 0.765 0.765 0.765
Zn 0.810 0.305 0.305
Zn 0.949 0.367 0.658
Zn 0.949 0.658 0.367
Cr 0.557 0.557 0.557
! - E_tot: -2.652 eV/atom
! - Mass density: 8.5 g/cm³
! - Formation energy: -0.074 eV per atom



[8]
! PaZn11Cr, optimized geometry, DFT GGA-PBE; values from VASP
&SYSTEM
  ibrav = 0, nat = 13, ntyp = 3
/
ATOMIC_SPECIES
Pa 231.04 Pa.upf
Zn 65.41 Zn.upf
Cr 52.00 Cr.upf
CELL_PARAMETERS angstrom
2.604 -6.316 0.000
2.604 6.316 0.000
-2.566 0.000 6.271
ATOMIC_POSITIONS crystal
Pa 0.000 0.000 0.000
Zn 0.000 0.500 0.000
Zn 0.011 0.663 0.645
Zn 0.282 0.499 0.784
Zn 0.337 0.989 0.355
Zn 0.499 0.282 0.784
Zn 0.500 0.000 0.000
Zn 0.500 0.500 0.500
Zn 0.501 0.718 0.216
Zn 0.663 0.011 0.645
Zn 0.718 0.501 0.216
Zn 0.989 0.337 0.355
Cr 0.000 0.000 0.500
! - E_tot: -2.577 eV/atom
! - Mass density: 8.1 g/cm³
! - Formation energy: -0.028 eV per atom



[9]
! PaZn4Cr, optimized geometry, DFT GGA-PBE; values from VASP
&SYSTEM
  ibrav = 0, nat = 6, ntyp = 3
/
ATOMIC_SPECIES
Pa 231.04 Pa.upf
Zn 65.41 Zn.upf
Cr 52.00 Cr.upf
CELL_PARAMETERS angstrom
0.000 3.682 3.682
3.682 0.000 3.682
3.682 3.682 0.000
ATOMIC_POSITIONS crystal
Pa 0.000 0.000 0.000
Zn 0.376 0.376 0.376
Zn 0.376 0.376 0.872
Zn 0.376 0.872 0.376
Zn 0.872 0.376 0.376
Cr 0.750 0.750 0.750
! - E_tot: -3.949 eV/atom
! - Mass density: 9.1 g/cm³
! - Formation energy: 0.087 eV per atom



[10]
! Pa2ZnCr, optimized geometry, DFT GGA-PBE; values from VASP
&SYSTEM
  ibrav = 0, nat = 4, ntyp = 3
/
ATOMIC_SPECIES
Pa 231.04 Pa.upf
Zn 65.41 Zn.upf
Cr 52.00 Cr.upf
CELL_PARAMETERS angstrom
1.826 1.054 9.173
-1.826 1.054 9.173
0.000 -2.109 9.173
ATOMIC_POSITIONS crystal
Pa 0.113 0.113 0.113
Pa 0.887 0.887 0.887
Zn 0.000 0.000 0.000
Cr 0.500 0.500 0.500
! - E_tot: -6.727 eV/atom
! - Mass density: 9.1 g/cm³
! - Formation energy: 0.745 eV per atom



[11]
! PaZnCr, optimized geometry, DFT GGA-PBE; values from VASP
&SYSTEM
  ibrav = 0, nat = 6, ntyp = 3
/
ATOMIC_SPECIES
Pa 231.04 Pa.upf
Zn 65.41 Zn.upf
Cr 52.00 Cr.upf
CELL_PARAMETERS angstrom
2.054 1.186 7.719
-2.054 1.186 7.719
0.000 -2.372 7.719
ATOMIC_POSITIONS crystal
Pa 0.091 0.091 0.091
Pa 0.909 0.909 0.909
Zn 0.325 0.325 0.325
Zn 0.675 0.675 0.675
Cr 0.205 0.205 0.205
Cr 0.795 0.795 0.795
! - E_tot: -6.215 eV/atom
! - Mass density: 10.3 g/cm³
! - Formation energy: 0.582 eV per atom



[12]
! PaZn2Cr, optimized geometry, DFT GGA-PBE; values from VASP
&SYSTEM
  ibrav = 0, nat = 8, ntyp = 3
/
ATOMIC_SPECIES
Pa 231.04 Pa.upf
Zn 65.41 Zn.upf
Cr 52.00 Cr.upf
CELL_PARAMETERS angstrom
4.721 0.000 0.000
0.000 6.321 0.000
-1.426 0.000 4.583
ATOMIC_POSITIONS crystal
Pa 0.042 0.250 0.127
Pa 0.958 0.750 0.873
Zn 0.415 0.051 0.722
Zn 0.415 0.449 0.722
Zn 0.585 0.551 0.278
Zn 0.585 0.949 0.278
Cr 0.098 0.750 0.365
Cr 0.902 0.250 0.635
! - E_tot: -5.432 eV/atom
! - Mass density: 10.0 g/cm³
! - Formation energy: -0.015 eV per atom



[13]
! ZrPaCr, optimized geometry, DFT GGA-PBE; values from VASP
&SYSTEM
  ibrav = 0, nat = 3, ntyp = 3
/
ATOMIC_SPECIES
Zr 91.22 Zr.upf
Pa 231.04 Pa.upf
Cr 52.00 Cr.upf
CELL_PARAMETERS angstrom
-1.670 1.670 5.289
1.670 -1.670 5.289
1.670 1.670 -5.289
ATOMIC_POSITIONS crystal
Zr 0.000 0.000 0.000
Pa 0.300 0.300 0.000
Cr 0.674 0.674 0.000
! - E_tot: -9.075 eV/atom
! - Mass density: 10.5 g/cm³
! - Formation energy: 0.148 eV per atom



[14]
! CrPb4, optimized geometry, DFT GGA-PBE; values from VASP
&SYSTEM
  ibrav = 0, nat = 5, ntyp = 2
/
ATOMIC_SPECIES
Cr 52.00 Cr.upf
Pb 207.20 Pb.upf
CELL_PARAMETERS angstrom
-3.776 3.776 2.477
3.776 -3.776 2.477
3.776 3.776 -2.477
ATOMIC_POSITIONS crystal
Cr 0.000 0.000 0.000
Pb 0.205 0.390 0.595
Pb 0.390 0.795 0.186
Pb 0.610 0.205 0.814
Pb 0.795 0.610 0.405
! - E_tot: -4.574 eV/atom
! - Mass density: 10.4 g/cm³
! - Formation energy: 0.317 eV per atom



[15]
! CrPb2, optimized geometry, DFT GGA-PBE; values from VASP
&SYSTEM
  ibrav = 0, nat = 6, ntyp = 2
/
ATOMIC_SPECIES
Cr 52.00 Cr.upf
Pb 207.20 Pb.upf
CELL_PARAMETERS angstrom
1.614 -13.000 0.000
1.614 13.000 0.000
0.000 0.000 3.610
ATOMIC_POSITIONS crystal
Cr 0.023 0.977 0.750
Cr 0.977 0.023 0.250
Pb 0.296 0.704 0.250
Pb 0.415 0.585 0.750
Pb 0.585 0.415 0.250
Pb 0.704 0.296 0.750
! - E_tot: -5.150 eV/atom
! - Mass density: 10.2 g/cm³
! - Formation energy: 0.530 eV per atom



[16]
! CrPb2, optimized geometry, DFT GGA-PBE; values from VASP
&SYSTEM
  ibrav = 0, nat = 6, ntyp = 2
/
ATOMIC_SPECIES
Cr 52.00 Cr.upf
Pb 207.20 Pb.upf
CELL_PARAMETERS angstrom
0.000 4.493 4.493
4.493 0.000 4.493
4.493 4.493 0.000
ATOMIC_POSITIONS crystal
Cr 0.125 0.125 0.125
Cr 0.875 0.875 0.875
Pb 0.000 0.500 0.500
Pb 0.500 0.000 0.500
Pb 0.500 0.500 0.000
Pb 0.500 0.500 0.500
! - E_tot: -4.868 eV/atom
! - Mass density: 8.5 g/cm³
! - Formation energy: 0.812 eV per atom



[17]
! CrPb3, optimized geometry, DFT GGA-PBE; values from VASP
&SYSTEM
  ibrav = 0, nat = 8, ntyp = 2
/
ATOMIC_SPECIES
Cr 52.00 Cr.upf
Pb 207.20 Pb.upf
CELL_PARAMETERS angstrom
3.465 0.000 0.000
0.000 6.587 0.000
0.000 0.000 9.752
ATOMIC_POSITIONS crystal
Cr 0.250 0.250 0.167
Cr 0.750 0.750 0.833
Pb 0.250 0.008 0.653
Pb 0.250 0.492 0.653
Pb 0.250 0.750 0.080
Pb 0.750 0.250 0.920
Pb 0.750 0.508 0.347
Pb 0.750 0.992 0.347
! - E_tot: -4.807 eV/atom
! - Mass density: 10.1 g/cm³
! - Formation energy: 0.380 eV per atom



[18]
! CrPb3, optimized geometry, DFT GGA-PBE; values from VASP
&SYSTEM
  ibrav = 0, nat = 4, ntyp = 2
/
ATOMIC_SPECIES
Cr 52.00 Cr.upf
Pb 207.20 Pb.upf
CELL_PARAMETERS angstrom
-1.716 6.640 2.442
1.716 -6.640 2.442
1.716 6.640 -2.442
ATOMIC_POSITIONS crystal
Cr 0.000 0.000 0.000
Pb 0.193 0.501 0.691
Pb 0.500 0.000 0.500
Pb 0.810 0.501 0.309
! - E_tot: -4.832 eV/atom
! - Mass density: 10.1 g/cm³
! - Formation energy: 0.355 eV per atom



[19]
! CrPb3, optimized geometry, DFT GGA-PBE; values from VASP
&SYSTEM
  ibrav = 0, nat = 4, ntyp = 2
/
ATOMIC_SPECIES
Cr 52.00 Cr.upf
Pb 207.20 Pb.upf
CELL_PARAMETERS angstrom
5.327 3.076 1.132
-5.327 3.076 1.132
0.000 -6.152 1.132
ATOMIC_POSITIONS crystal
Cr 0.000 0.000 0.000
Pb 0.000 0.500 0.500
Pb 0.500 0.000 0.500
Pb 0.500 0.500 0.000
! - E_tot: -4.721 eV/atom
! - Mass density: 10.0 g/cm³
! - Formation energy: 0.466 eV per atom



[20]
! CrPb3, optimized geometry, DFT GGA-PBE; values from VASP
&SYSTEM
  ibrav = 0, nat = 4, ntyp = 2
/
ATOMIC_SPECIES
Cr 52.00 Cr.upf
Pb 207.20 Pb.upf
CELL_PARAMETERS angstrom
5.192 0.000 0.000
0.000 5.192 0.000
0.000 0.000 5.192
ATOMIC_POSITIONS crystal
Cr 0.000 0.000 0.000
Pb 0.000 0.000 0.500
Pb 0.000 0.500 0.000
Pb 0.500 0.000 0.000
! - E_tot: -4.740 eV/atom
! - Mass density: 8.0 g/cm³
! - Formation energy: 0.447 eV per atom



[21]
! CrPb3, optimized geometry, DFT GGA-PBE; values from VASP
&SYSTEM
  ibrav = 0, nat = 4, ntyp = 2
/
ATOMIC_SPECIES
Cr 52.00 Cr.upf
Pb 207.20 Pb.upf
CELL_PARAMETERS angstrom
3.367 -4.619 0.000
3.367 4.619 0.000
0.000 0.000 3.550
ATOMIC_POSITIONS crystal
Cr 0.000 0.000 0.000
Pb 0.000 0.500 0.500
Pb 0.500 0.000 0.500
Pb 0.500 0.500 0.000
! - E_tot: -4.785 eV/atom
! - Mass density: 10.1 g/cm³
! - Formation energy: 0.402 eV per atom



[22]
! CrPb2, optimized geometry, DFT GGA-PBE; values from VASP
&SYSTEM
  ibrav = 0, nat = 6, ntyp = 2
/
ATOMIC_SPECIES
Cr 52.00 Cr.upf
Pb 207.20 Pb.upf
CELL_PARAMETERS angstrom
5.455 -1.628 0.000
5.455 1.628 0.000
-3.588 0.000 8.156
ATOMIC_POSITIONS crystal
Cr 0.218 0.218 0.059
Cr 0.782 0.782 0.941
Pb 0.167 0.167 0.613
Pb 0.495 0.495 0.815
Pb 0.505 0.505 0.185
Pb 0.833 0.833 0.387
! - E_tot: -5.207 eV/atom
! - Mass density: 10.7 g/cm³
! - Formation energy: 0.473 eV per atom



[23]
! CrPb2, optimized geometry, DFT GGA-PBE; values from VASP
&SYSTEM
  ibrav = 0, nat = 3, ntyp = 2
/
ATOMIC_SPECIES
Cr 52.00 Cr.upf
Pb 207.20 Pb.upf
CELL_PARAMETERS angstrom
6.868 -1.712 0.000
6.868 1.712 0.000
-0.850 0.000 3.317
ATOMIC_POSITIONS crystal
Cr 0.000 0.000 0.000
Pb 0.361 0.361 0.361
Pb 0.639 0.639 0.639
! - E_tot: -5.249 eV/atom
! - Mass density: 9.9 g/cm³
! - Formation energy: 0.432 eV per atom



[24]
! Cr5Pb3, optimized geometry, DFT GGA-PBE; values from VASP
&SYSTEM
  ibrav = 0, nat = 16, ntyp = 2
/
ATOMIC_SPECIES
Cr 52.00 Cr.upf
Pb 207.20 Pb.upf
CELL_PARAMETERS angstrom
5.975 0.000 0.000
2.555 6.812 0.000
0.511 2.166 7.888
ATOMIC_POSITIONS crystal
Cr 0.000 0.000 0.000
Cr 0.012 0.218 0.676
Cr 0.260 0.583 0.035
Cr 0.283 0.580 0.688
Cr 0.314 0.832 0.180
Cr 0.407 0.841 0.823
Cr 0.565 0.112 0.626
Cr 0.722 0.743 0.087
Cr 0.734 0.700 0.607
Cr 0.919 0.838 0.799
Pb 0.111 0.510 0.379
Pb 0.230 0.977 0.468
Pb 0.396 0.183 0.948
Pb 0.633 0.456 0.400
Pb 0.737 0.017 0.301
Pb 0.808 0.435 0.934
! - E_tot: -6.803 eV/atom
! - Mass density: 9.1 g/cm³
! - Formation energy: 0.602 eV per atom



[25]
! CrPb2, optimized geometry, DFT GGA-PBE; values from VASP
&SYSTEM
  ibrav = 0, nat = 6, ntyp = 2
/
ATOMIC_SPECIES
Cr 52.00 Cr.upf
Pb 207.20 Pb.upf
CELL_PARAMETERS angstrom
1.710 -8.436 0.000
1.710 8.436 0.000
0.000 0.000 5.410
ATOMIC_POSITIONS crystal
Cr 0.218 0.782 0.750
Cr 0.782 0.218 0.250
Pb 0.138 0.862 0.250
Pb 0.438 0.562 0.250
Pb 0.562 0.438 0.750
Pb 0.862 0.138 0.750
! - E_tot: -5.183 eV/atom
! - Mass density: 9.9 g/cm³
! - Formation energy: 0.497 eV per atom



[26]
! CrPb3, optimized geometry, DFT GGA-PBE; values from VASP
&SYSTEM
  ibrav = 0, nat = 4, ntyp = 2
/
ATOMIC_SPECIES
Cr 52.00 Cr.upf
Pb 207.20 Pb.upf
CELL_PARAMETERS angstrom
3.492 0.000 0.000
-1.746 3.024 0.000
0.000 0.000 10.364
ATOMIC_POSITIONS crystal
Cr 0.000 0.000 0.000
Pb 0.000 0.000 0.500
Pb 0.667 0.333 0.216
Pb 0.667 0.333 0.784
! - E_tot: -4.821 eV/atom
! - Mass density: 10.2 g/cm³
! - Formation energy: 0.366 eV per atom